Computed, not measured: an optimized crystal structure of Cd2SiRh2 at the PBE-GGA level of DFT.

**Total magnetization**: 1.6 Bohr magnetons per cell
**DOS(E_F)**: 1.22 states/eV/atom
**Offset from the most stable computed form**: 909 meV per atom
**Electronic total energy**: -3.879 eV/atom
**Raw formation energy**: 2.56 eV/f.u.

a b c (Å): 3.6329 3.6329 14.7428
angles (deg): 90.00 90.00 90.00
Space group I4/mmm (No. 139)
One atom of each set of equivalent atoms:
Cd  0.0000  0.0000  0.1015
Si  0.0000  0.0000  0.5000
Rh  0.0000  0.5000  0.2500